A plane-wave DFT calculation with PBE-GGA was carried out for an optimized crystal structure of Rb6PtI3.

The space group is R-3c (No. 167, hexagonal axes) and the conventional cell measures 14.7387, 14.7387 and 17.2954 Å, with angles of 90.00, 90.00 and 120.00 degrees. The distinct sites, in fractional coordinates, are Rb at (0.0294, 0.1901, 0.3937), Pt at (0.0000, 0.0000, 0.0000) and I at (0.0000, 0.3712, 0.2500).

=====

A plane-wave DFT calculation with PBE-GGA was carried out for an optimized crystal structure of RbPtI.

The space group is P1 (No. 1) and the conventional cell measures 4.904, 5.377 and 9.310 Å, with angles of 106.71, 90.03 and 90.00 degrees. The distinct sites, in fractional coordinates, are Rb at (0.000, 0.000, 0.000), Rb at (0.002, 0.241, 0.486), Pt at (0.001, 0.620, 0.243), Pt at (0.501, 0.549, 0.099), I at (0.501, 0.406, 0.808) and I at (0.502, 0.690, 0.384).

=====

Short version: calculated total energy = -2.49; -3.34 eV per atom, in the order given.
Short version: formation energy (no corrections) = -835; -491 meV per atom, in the order given.